Entry 1:
A relaxed PmPuCdGe crystal. Source: the Alexandria database, functional PBE.

## Properties
D(E_F), states/eV per atom: 2.5573
Calculated volume, A^3/atom: 25.5
Total moment, μB/f.u.: 6.6
Formation enthalpy at 0 K, meV per atom: -305

Unit cell a=5.2451 b=5.2451 c=5.2451 alpha=60.00 beta=60.00 gamma=60.00
With the nearest neighbours (Å) after each atom.
Fractional coordinates of all 4 atoms:
Cd (0.7500, 0.7500, 0.7500)  4 Pm 3.21, 4 Pu 3.21
Ge (0.2500, 0.2500, 0.2500)  4 Pm 3.21, 4 Pu 3.21
Pm (0.0000, 0.0000, 0.0000)  4 Ge 3.21, 4 Cd 3.21
Pu (0.5000, 0.5000, 0.5000)  4 Cd 3.21, 4 Ge 3.21

---

Entry 2:
A relaxed PmCdGeRh crystal. Source: the Alexandria database, functional PBE.

## Properties
D(E_F), states/eV per atom: 0.5702
Calculated volume, A^3/atom: 20.5
Total moment, μB/f.u.: 0.0
Formation enthalpy at 0 K, meV per atom: -346

Unit cell a=4.8765 b=4.8765 c=4.8765 alpha=60.00 beta=60.00 gamma=60.00
With the nearest neighbours (Å) after each atom.
Fractional coordinates of all 4 atoms:
Ge (0.2500, 0.2500, 0.2500)  4 Pm 2.99, 4 Cd 2.99
Cd (0.0000, 0.0000, 0.0000)  4 Ge 2.99, 4 Rh 2.99
Rh (0.7500, 0.7500, 0.7500)  4 Cd 2.99, 4 Pm 2.99
Pm (0.5000, 0.5000, 0.5000)  4 Rh 2.99, 4 Ge 2.99

---

Entry 3:
A relaxed Pm2CdGe4Rh3 crystal. Source: the Alexandria database, functional PBE.

## Properties
D(E_F), states/eV per atom: 0.6403
Calculated volume, A^3/atom: 19.3
Total moment, μB/f.u.: 0.0
Formation enthalpy at 0 K, meV per atom: -709

Unit cell a=4.3088 b=4.3088 c=10.3818 alpha=90.00 beta=90.00 gamma=90.00
With the nearest neighbours (Å) after each atom.
Fractional coordinates of all 10 atoms:
Pm (0.5000, 0.0000, 0.2344)  8 Ge 3.25-3.28, 6 Rh 3.28-3.50, 2 Cd 3.50
Pm (0.0000, 0.5000, 0.7656)  8 Ge 3.25-3.28, 6 Rh 3.28-3.50, 2 Cd 3.50
Cd (0.5000, 0.5000, 0.5000)  4 Ge 2.65
Ge (0.5000, 0.5000, 0.0000)  4 Rh 2.48
Ge (0.0000, 0.0000, 0.0000)  4 Rh 2.48
Ge (0.5000, 0.0000, 0.6487)  3 Rh 2.42-2.65, 2 Cd 2.65
Ge (0.0000, 0.5000, 0.3513)  3 Rh 2.42-2.65, 2 Cd 2.65
Rh (0.0000, 0.0000, 0.5000)  4 Ge 2.65
Rh (0.5000, 0.0000, 0.8818)  5 Ge 2.42-2.48
Rh (0.0000, 0.5000, 0.1182)  5 Ge 2.42-2.48